# 1
! PBE NiHg2PbI, optimized geometry; values from VASP
&SYSTEM
  ibrav = 0, nat = 5, ntyp = 4
/
ATOMIC_SPECIES
Ni 58.69 Ni.upf
Hg 200.59 Hg.upf
Pb 207.20 Pb.upf
I 126.90 I.upf
CELL_PARAMETERS angstrom
5.168 0.000 0.000
0.000 5.168 0.000
0.000 0.000 5.279
ATOMIC_POSITIONS crystal
Ni 0.000 0.000 0.000
Hg 0.000 0.500 0.000
Hg 0.500 0.000 0.000
Pb 0.000 0.000 0.500
I 0.500 0.500 0.500
! Uncorrected formation energy   -0.02 eV per atom
! Symmetry   P4/mmm, No. 123

=====

# 2
! PBE ThCd6Hg4, optimized geometry; values from VASP
&SYSTEM
  ibrav = 0, nat = 11, ntyp = 3
/
ATOMIC_SPECIES
Th 232.04 Th.upf
Cd 112.41 Cd.upf
Hg 200.59 Hg.upf
CELL_PARAMETERS angstrom
9.642 0.000 0.000
-4.821 8.350 0.000
0.000 0.000 3.350
ATOMIC_POSITIONS crystal
Th 0.000 0.000 0.000
Cd 0.184 0.369 0.500
Cd 0.184 0.816 0.500
Cd 0.527 0.054 0.000
Cd 0.527 0.473 0.000
Cd 0.631 0.816 0.500
Cd 0.946 0.473 0.000
Hg 0.333 0.667 0.000
Hg 0.348 0.174 0.500
Hg 0.826 0.174 0.500
Hg 0.826 0.652 0.500
! Symmetry   P-6m2, No. 187
! Energy   -1.320 eV/atom

=====

# 3
! PBE Tl8HgPb6, optimized geometry; values from VASP
&SYSTEM
  ibrav = 0, nat = 15, ntyp = 3
/
ATOMIC_SPECIES
Tl 204.38 Tl.upf
Hg 200.59 Hg.upf
Pb 207.20 Pb.upf
CELL_PARAMETERS angstrom
4.362 2.519 7.070
-4.362 2.519 7.070
0.000 -5.037 7.070
ATOMIC_POSITIONS crystal
Tl 0.079 0.079 0.079
Tl 0.169 0.617 0.313
Tl 0.313 0.169 0.617
Tl 0.383 0.687 0.831
Tl 0.617 0.313 0.169
Tl 0.687 0.831 0.383
Tl 0.831 0.383 0.687
Tl 0.921 0.921 0.921
Hg 0.500 0.500 0.500
Pb 0.049 0.571 0.768
Pb 0.232 0.951 0.429
Pb 0.429 0.232 0.951
Pb 0.571 0.768 0.049
Pb 0.768 0.049 0.571
Pb 0.951 0.429 0.232
! Symmetry   R-3, No. 148
! Energy   -2.748 eV/atom

=====

# 4
! PBE AcY7Ho12, optimized geometry; values from VASP
&SYSTEM
  ibrav = 0, nat = 20, ntyp = 3
/
ATOMIC_SPECIES
Ac 227.00 Ac.upf
Y 88.91 Y.upf
Ho 164.93 Ho.upf
CELL_PARAMETERS angstrom
-5.657 5.657 5.657
5.657 -5.657 5.657
5.657 5.657 -5.657
ATOMIC_POSITIONS crystal
Ac 0.000 0.000 0.000
Y 0.000 0.000 0.500
Y 0.000 0.500 0.000
Y 0.000 0.500 0.500
Y 0.500 0.000 0.000
Y 0.500 0.000 0.500
Y 0.500 0.500 0.000
Y 0.500 0.500 0.500
Ho 0.001 0.735 0.266
Ho 0.265 0.266 0.531
Ho 0.265 0.734 0.999
Ho 0.266 0.001 0.735
Ho 0.266 0.531 0.265
Ho 0.469 0.735 0.734
Ho 0.531 0.265 0.266
Ho 0.734 0.469 0.735
Ho 0.734 0.999 0.265
Ho 0.735 0.266 0.001
Ho 0.735 0.734 0.469
Ho 0.999 0.265 0.734
! Symmetry   Im-3, No. 204
! Energy above the lowest structure with this stoichiometry   473 meV per atom

=====

# 5
! PBE LaHf2Pd, optimized geometry; values from VASP
&SYSTEM
  ibrav = 0, nat = 4, ntyp = 3
/
ATOMIC_SPECIES
La 138.91 La.upf
Hf 178.49 Hf.upf
Pd 106.42 Pd.upf
CELL_PARAMETERS angstrom
0.000 3.477 3.477
3.477 0.000 3.477
3.477 3.477 0.000
ATOMIC_POSITIONS crystal
La 0.000 0.000 0.000
Hf 0.250 0.250 0.250
Hf 0.750 0.750 0.750
Pd 0.500 0.500 0.500
! Symmetry   Fm-3m, No. 225
! Energy above the lowest structure with this stoichiometry   0 meV per atom

=====

# 6
! PBE AcBeCu4, optimized geometry; values from VASP
&SYSTEM
  ibrav = 0, nat = 6, ntyp = 3
/
ATOMIC_SPECIES
Ac 227.00 Ac.upf
Be 9.01 Be.upf
Cu 63.55 Cu.upf
CELL_PARAMETERS angstrom
0.000 3.658 3.658
3.658 0.000 3.658
3.658 3.658 0.000
ATOMIC_POSITIONS crystal
Ac 0.000 0.000 0.000
Be 0.250 0.250 0.250
Cu 0.134 0.622 0.622
Cu 0.622 0.134 0.622
Cu 0.622 0.622 0.134
Cu 0.622 0.622 0.622
! Symmetry   F-43m, No. 216
! Energy   -3.938 eV/atom

=====

# 7
! PBE PuCuB2O8, optimized geometry; values from VASP
&SYSTEM
  ibrav = 0, nat = 12, ntyp = 4
/
ATOMIC_SPECIES
Pu 244.00 Pu.upf
Cu 63.55 Cu.upf
B 10.81 B.upf
O 16.00 O.upf
CELL_PARAMETERS angstrom
-3.217 3.217 2.876
3.217 -3.217 2.876
3.217 3.217 -2.876
ATOMIC_POSITIONS crystal
Pu 0.000 0.000 0.000
Cu 0.250 0.750 0.500
B 0.500 0.500 0.000
B 0.750 0.250 0.500
O 0.336 0.160 0.824
O 0.336 0.512 0.176
O 0.412 0.090 0.322
O 0.488 0.664 0.824
O 0.769 0.090 0.678
O 0.840 0.664 0.176
O 0.910 0.231 0.322
O 0.910 0.588 0.678
! Uncorrected formation energy   -1.58 eV per atom
! Symmetry   I-4m2, No. 119

=====

# 8
! PBE K2BeFe, optimized geometry; values from VASP
&SYSTEM
  ibrav = 0, nat = 4, ntyp = 3
/
ATOMIC_SPECIES
K 39.10 K.upf
Be 9.01 Be.upf
Fe 55.84 Fe.upf
CELL_PARAMETERS angstrom
-2.208 2.208 5.377
2.208 -2.208 5.377
2.208 2.208 -5.377
ATOMIC_POSITIONS crystal
K 0.250 0.750 0.500
K 0.750 0.250 0.500
Be 0.000 0.000 0.000
Fe 0.500 0.500 0.000
! Symmetry   I4/mmm, No. 139
! Energy   -2.303 eV/atom

=====

# 9
! PBE La4ZrAu, optimized geometry; values from VASP
&SYSTEM
  ibrav = 0, nat = 6, ntyp = 3
/
ATOMIC_SPECIES
La 138.91 La.upf
Zr 91.22 Zr.upf
Au 196.97 Au.upf
CELL_PARAMETERS angstrom
0.000 4.509 4.509
4.509 0.000 4.509
4.509 4.509 0.000
ATOMIC_POSITIONS crystal
La 0.125 0.125 0.125
La 0.125 0.125 0.626
La 0.125 0.626 0.125
La 0.626 0.125 0.125
Zr 0.750 0.750 0.750
Au 0.500 0.500 0.500
! Symmetry   F-43m, No. 216
! Energy   -4.828 eV/atom

=====

# 10
! PBE AcSiPd4, optimized geometry; values from VASP
&SYSTEM
  ibrav = 0, nat = 12, ntyp = 3
/
ATOMIC_SPECIES
Ac 227.00 Ac.upf
Si 28.09 Si.upf
Pd 106.42 Pd.upf
CELL_PARAMETERS angstrom
2.052 -8.012 0.000
2.052 8.012 0.000
0.000 0.000 6.809
ATOMIC_POSITIONS crystal
Ac 0.103 0.897 0.750
Ac 0.897 0.103 0.250
Si 0.232 0.768 0.250
Si 0.768 0.232 0.750
Pd 0.085 0.915 0.250
Pd 0.311 0.689 0.550
Pd 0.311 0.689 0.950
Pd 0.500 0.500 0.000
Pd 0.500 0.500 0.500
Pd 0.689 0.311 0.050
Pd 0.689 0.311 0.450
Pd 0.915 0.085 0.750
! Uncorrected formation energy   -0.76 eV per atom
! Symmetry   Cmcm, No. 63
! Energy above the lowest structure with this stoichiometry   0 meV per atom

=====

# 11
! PBE ZrCu2Au, optimized geometry; values from VASP
&SYSTEM
  ibrav = 0, nat = 4, ntyp = 3
/
ATOMIC_SPECIES
Zr 91.22 Zr.upf
Cu 63.55 Cu.upf
Au 196.97 Au.upf
CELL_PARAMETERS angstrom
-2.069 2.088 3.775
2.069 -2.088 3.775
2.069 2.088 -3.775
ATOMIC_POSITIONS crystal
Zr 0.000 0.000 0.000
Cu 0.502 0.502 0.000
Cu 0.749 0.249 0.500
Au 0.251 0.751 0.500
! Symmetry   Imm2, No. 44
! Energy above the lowest structure with this stoichiometry   46 meV per atom

=====

# 12
! PBE LaCeTh2N4, optimized geometry; values from VASP
&SYSTEM
  ibrav = 0, nat = 8, ntyp = 4
/
ATOMIC_SPECIES
La 138.91 La.upf
Ce 140.12 Ce.upf
Th 232.04 Th.upf
N 14.01 N.upf
CELL_PARAMETERS angstrom
6.339 0.000 0.000
0.000 3.665 0.000
-2.122 0.000 5.998
ATOMIC_POSITIONS crystal
La 0.000 0.000 0.000
Ce 0.000 0.500 0.500
Th 0.500 0.000 0.500
Th 0.500 0.500 0.000
N 0.258 0.000 0.745
N 0.266 0.500 0.263
N 0.734 0.500 0.737
N 0.742 0.000 0.255
! Uncorrected formation energy   -1.51 eV per atom
! Symmetry   P2/m, No. 10

=====

# 13
! PBE Pm6SiAs2Se3, optimized geometry; values from VASP
&SYSTEM
  ibrav = 0, nat = 12, ntyp = 4
/
ATOMIC_SPECIES
Pm 145.00 Pm.upf
Si 28.09 Si.upf
As 74.92 As.upf
Se 78.96 Se.upf
CELL_PARAMETERS angstrom
9.236 -2.112 0.000
9.236 2.112 0.000
-1.983 0.000 8.234
ATOMIC_POSITIONS crystal
Pm 0.002 0.002 0.241
Pm 0.331 0.331 0.423
Pm 0.338 0.338 0.914
Pm 0.662 0.662 0.086
Pm 0.669 0.669 0.577
Pm 0.998 0.998 0.759
Si 0.500 0.500 0.000
As 0.167 0.167 0.334
As 0.833 0.833 0.666
Se 0.168 0.168 0.832
Se 0.500 0.500 0.500
Se 0.832 0.832 0.168
! Uncorrected formation energy   -1.61 eV per atom
! Symmetry   C2/m, No. 12

=====

# 14
! PBE Ba2ZnGaN, optimized geometry; values from VASP
&SYSTEM
  ibrav = 0, nat = 10, ntyp = 4
/
ATOMIC_SPECIES
Ba 137.33 Ba.upf
Zn 65.41 Zn.upf
Ga 69.72 Ga.upf
N 14.01 N.upf
CELL_PARAMETERS angstrom
7.689 0.000 0.000
0.000 4.096 0.000
-2.504 0.000 8.972
ATOMIC_POSITIONS crystal
Ba 0.179 0.250 0.373
Ba 0.197 0.250 0.957
Ba 0.803 0.750 0.043
Ba 0.821 0.750 0.627
Zn 0.434 0.750 0.232
Zn 0.566 0.250 0.768
Ga 0.347 0.750 0.687
Ga 0.653 0.250 0.313
N 0.169 0.750 0.163
N 0.831 0.250 0.837
! Uncorrected formation energy   -0.33 eV per atom
! Symmetry   P2_1/m, No. 11

=====

# 15
! PBE NaNb2AlRh, optimized geometry; values from VASP
&SYSTEM
  ibrav = 0, nat = 5, ntyp = 4
/
ATOMIC_SPECIES
Na 22.99 Na.upf
Nb 92.91 Nb.upf
Al 26.98 Al.upf
Rh 102.91 Rh.upf
CELL_PARAMETERS angstrom
4.820 0.000 0.000
0.000 4.820 0.000
0.000 0.000 4.937
ATOMIC_POSITIONS crystal
Na 0.000 0.000 0.000
Nb 0.000 0.500 0.500
Nb 0.500 0.000 0.500
Al 0.500 0.500 0.000
Rh 0.000 0.000 0.500
! Symmetry   P4/mmm, No. 123
! Energy above the lowest structure with this stoichiometry   0 meV per atom

=====

# 16
! PBE SrLa2H2, optimized geometry; values from VASP
&SYSTEM
  ibrav = 0, nat = 5, ntyp = 3
/
ATOMIC_SPECIES
Sr 87.62 Sr.upf
La 138.91 La.upf
H 1.01 H.upf
CELL_PARAMETERS angstrom
4.596 0.000 0.000
0.000 4.596 0.000
0.000 0.000 6.931
ATOMIC_POSITIONS crystal
Sr 0.000 0.000 0.000
La 0.000 0.500 0.500
La 0.500 0.000 0.500
H 0.500 0.500 0.000
H 0.500 0.500 0.500
! Symmetry   P4/mmm, No. 123
! Energy above the lowest structure with this stoichiometry   555 meV per atom

=====

# 17
! PBE Ac3Ce2SmTe6, optimized geometry; values from VASP
&SYSTEM
  ibrav = 0, nat = 12, ntyp = 4
/
ATOMIC_SPECIES
Ac 227.00 Ac.upf
Ce 140.12 Ce.upf
Sm 150.36 Sm.upf
Te 127.60 Te.upf
CELL_PARAMETERS angstrom
10.088 -2.279 0.000
10.088 2.279 0.000
-2.329 0.000 9.021
ATOMIC_POSITIONS crystal
Ac 0.000 0.000 0.000
Ac 0.333 0.333 0.666
Ac 0.667 0.667 0.334
Ce 0.333 0.333 0.165
Ce 0.667 0.667 0.835
Sm 0.000 0.000 0.500
Te 0.162 0.162 0.592
Te 0.170 0.170 0.076
Te 0.497 0.497 0.261
Te 0.503 0.503 0.739
Te 0.830 0.830 0.924
Te 0.838 0.838 0.408
! Uncorrected formation energy   -1.43 eV per atom
! Symmetry   C2/m, No. 12

=====

# 18
! PBE Kr, optimized geometry; values from VASP
&SYSTEM
  ibrav = 0, nat = 1, ntyp = 1
/
ATOMIC_SPECIES
Kr 83.80 Kr.upf
CELL_PARAMETERS angstrom
0.000 3.069 3.069
3.069 0.000 3.069
3.069 3.069 0.000
ATOMIC_POSITIONS crystal
Kr 0.000 0.000 0.000
! Symmetry   Fm-3m, No. 225
! Energy   -0.049 eV/atom

=====

# 19
! PBE LaMgSi2Au5, optimized geometry; values from VASP
&SYSTEM
  ibrav = 0, nat = 9, ntyp = 4
/
ATOMIC_SPECIES
La 138.91 La.upf
Mg 24.30 Mg.upf
Si 28.09 Si.upf
Au 196.97 Au.upf
CELL_PARAMETERS angstrom
4.604 0.000 0.000
0.000 4.604 0.000
0.000 0.000 9.451
ATOMIC_POSITIONS crystal
La 0.000 0.000 0.000
Mg 0.000 0.000 0.500
Si 0.500 0.500 0.250
Si 0.500 0.500 0.750
Au 0.000 0.500 0.331
Au 0.000 0.500 0.669
Au 0.500 0.000 0.331
Au 0.500 0.000 0.669
Au 0.500 0.500 0.000
! Uncorrected formation energy   -0.36 eV per atom
! Symmetry   P4/mmm, No. 123

=====

# 20
! PBE HfTi2Ge3, optimized geometry; values from VASP
&SYSTEM
  ibrav = 0, nat = 12, ntyp = 3
/
ATOMIC_SPECIES
Hf 178.49 Hf.upf
Ti 47.87 Ti.upf
Ge 72.64 Ge.upf
CELL_PARAMETERS angstrom
3.716 0.000 0.000
0.000 9.171 0.000
0.000 0.000 6.447
ATOMIC_POSITIONS crystal
Hf 0.000 0.161 0.000
Hf 0.000 0.839 0.500
Ti 0.000 0.166 0.509
Ti 0.000 0.834 0.009
Ti 0.500 0.495 0.005
Ti 0.500 0.505 0.505
Ge 0.000 0.394 0.748
Ge 0.000 0.606 0.248
Ge 0.500 0.018 0.746
Ge 0.500 0.276 0.266
Ge 0.500 0.724 0.766
Ge 0.500 0.982 0.246
! Symmetry   Pmc2_1, No. 26
! Energy   -7.010 eV/atom

=====

Across the entries above, V takes the values 141 270 466 724 84 98 119 105 183 224 65 139 321 283 115 146 415 58 200 220 Å³/cell, respectively.
Across the entries above, size of the total moment takes the values 0.00 0.00 0.00 0.00 0.00 0.00 1.01 2.45 1.45 0.00 0.00 0.39 0.00 0.00 0.00 0.00 2.55 0.00 0.00 0.00 μB per formula unit, respectively.